Entry 1:
# DyAg2Cl6 (GGA-PBE, optimized geometry)
data_DyAg2Cl6
_space_group_name_H-M_alt 'P 1'
_space_group_IT_number 1
_cell_length_a 3.938
_cell_length_b 8.052
_cell_length_c 9.454
_cell_angle_alpha 84.24
_cell_angle_beta 90.00
_cell_angle_gamma 104.16
loop_
_space_group_symop_operation_xyz
'x,y,z'
loop_
_atom_site_label
_atom_site_type_symbol
_atom_site_fract_x
_atom_site_fract_y
_atom_site_fract_z
Dy1 Dy 0.000 0.000 0.500
Ag1 Ag 0.808 0.615 0.835
Ag2 Ag 0.192 0.385 0.165
Cl1 Cl 0.965 0.930 0.780
Cl2 Cl 0.787 0.574 0.157
Cl3 Cl 0.213 0.426 0.843
Cl4 Cl 0.613 0.227 0.519
Cl5 Cl 0.387 0.773 0.481
Cl6 Cl 0.035 0.070 0.220
# - Formation energy (no corrections): -1175 meV/atom
# - Raw total energy: -3.551 eV/atom
# - Theoretical density: 3.394 g/cm³
# - V: 32.13 Å³ per atom
# - SG: C2/m
# - E above lowest polymorph: 0 meV/atom



Entry 2:
# DyAgCl6 (GGA-PBE, optimized geometry)
data_DyAgCl6
_space_group_name_H-M_alt 'P 1'
_space_group_IT_number 1
_cell_length_a 7.463
_cell_length_b 7.974
_cell_length_c 6.970
_cell_angle_alpha 59.99
_cell_angle_beta 58.23
_cell_angle_gamma 44.07
loop_
_space_group_symop_operation_xyz
'x,y,z'
loop_
_atom_site_label
_atom_site_type_symbol
_atom_site_fract_x
_atom_site_fract_y
_atom_site_fract_z
Dy1 Dy 0.500 0.500 0.500
Ag1 Ag 0.000 0.000 0.000
Cl1 Cl 0.112 0.482 0.700
Cl2 Cl 0.723 0.095 0.830
Cl3 Cl 0.606 0.212 0.298
Cl4 Cl 0.277 0.905 0.170
Cl5 Cl 0.888 0.518 0.300
Cl6 Cl 0.394 0.788 0.702
# - Formation energy (no corrections): -1146 meV/atom
# - Raw total energy: -3.462 eV/atom
# - Theoretical density: 3.342 g/cm³
# - V: 30.00 Å³ per atom
# - SG: P-1



Entry 3:
# DyAg2Cl6 (GGA-PBE, optimized geometry)
data_DyAg2Cl6
_space_group_name_H-M_alt 'P 1'
_space_group_IT_number 1
_cell_length_a 4.660
_cell_length_b 6.940
_cell_length_c 9.501
_cell_angle_alpha 64.34
_cell_angle_beta 75.80
_cell_angle_gamma 70.38
loop_
_space_group_symop_operation_xyz
'x,y,z'
loop_
_atom_site_label
_atom_site_type_symbol
_atom_site_fract_x
_atom_site_fract_y
_atom_site_fract_z
Dy1 Dy 0.000 0.500 0.500
Ag1 Ag 0.183 0.762 0.872
Ag2 Ag 0.817 0.238 0.128
Cl1 Cl 0.703 0.675 0.919
Cl2 Cl 0.297 0.325 0.081
Cl3 Cl 0.982 0.811 0.224
Cl4 Cl 0.369 0.687 0.576
Cl5 Cl 0.018 0.189 0.776
Cl6 Cl 0.631 0.313 0.424
# - Formation energy (no corrections): -1143 meV/atom
# - Raw total energy: -3.519 eV/atom
# - Theoretical density: 3.788 g/cm³
# - V: 28.79 Å³ per atom
# - SG: C2/m
# - E above lowest polymorph: 32 meV/atom



Entry 4:
# DyIn2AgCl6 (GGA-PBE, optimized geometry)
data_DyIn2AgCl6
_space_group_name_H-M_alt 'P 1'
_space_group_IT_number 1
_cell_length_a 7.293
_cell_length_b 7.682
_cell_length_c 10.411
_cell_angle_alpha 90.00
_cell_angle_beta 89.02
_cell_angle_gamma 90.00
loop_
_space_group_symop_operation_xyz
'x,y,z'
loop_
_atom_site_label
_atom_site_type_symbol
_atom_site_fract_x
_atom_site_fract_y
_atom_site_fract_z
Dy1 Dy 0.500 0.000 0.500
Dy2 Dy 0.000 0.500 0.000
In1 In 0.021 0.927 0.256
In2 In 0.521 0.573 0.756
In3 In 0.979 0.073 0.744
In4 In 0.479 0.427 0.244
Ag1 Ag 0.500 0.000 0.000
Ag2 Ag 0.000 0.500 0.500
Cl1 Cl 0.297 0.689 0.043
Cl2 Cl 0.797 0.811 0.543
Cl3 Cl 0.703 0.311 0.957
Cl4 Cl 0.203 0.189 0.457
Cl5 Cl 0.312 0.712 0.452
Cl6 Cl 0.812 0.788 0.952
Cl7 Cl 0.688 0.288 0.548
Cl8 Cl 0.188 0.212 0.048
Cl9 Cl 0.904 0.523 0.246
Cl10 Cl 0.404 0.977 0.746
Cl11 Cl 0.096 0.477 0.754
Cl12 Cl 0.596 0.023 0.254
# - Formation energy (no corrections): -1335 meV/atom
# - Raw total energy: -3.736 eV/atom
# - Theoretical density: 4.059 g/cm³
# - V: 29.16 Å³ per atom
# - SG: P2_1/c



Entry 5:
# KDy2AgCl8 (GGA-PBE, optimized geometry)
data_KDy2AgCl8
_space_group_name_H-M_alt 'P 1'
_space_group_IT_number 1
_cell_length_a 6.855
_cell_length_b 6.635
_cell_length_c 8.225
_cell_angle_alpha 90.00
_cell_angle_beta 90.00
_cell_angle_gamma 84.45
loop_
_space_group_symop_operation_xyz
'x,y,z'
loop_
_atom_site_label
_atom_site_type_symbol
_atom_site_fract_x
_atom_site_fract_y
_atom_site_fract_z
K1 K 0.000 0.000 0.500
Dy1 Dy 0.500 0.500 0.757
Dy2 Dy 0.500 0.500 0.243
Ag1 Ag 0.000 0.000 0.000
Cl1 Cl 0.184 0.751 0.226
Cl2 Cl 0.646 0.710 0.000
Cl3 Cl 0.816 0.249 0.226
Cl4 Cl 0.816 0.249 0.774
Cl5 Cl 0.354 0.290 0.000
Cl6 Cl 0.184 0.751 0.774
Cl7 Cl 0.639 0.702 0.500
Cl8 Cl 0.361 0.298 0.500
# - Formation energy (no corrections): -1906 meV/atom
# - Raw total energy: -4.233 eV/atom
# - Theoretical density: 3.370 g/cm³
# - V: 31.03 Å³ per atom
# - SG: P2/m



Entry 6:
# KDyAg2Cl8 (GGA-PBE, optimized geometry)
data_KDyAg2Cl8
_space_group_name_H-M_alt 'P 1'
_space_group_IT_number 1
_cell_length_a 6.740
_cell_length_b 6.740
_cell_length_c 8.623
_cell_angle_alpha 113.01
_cell_angle_beta 113.01
_cell_angle_gamma 90.00
loop_
_space_group_symop_operation_xyz
'x,y,z'
loop_
_atom_site_label
_atom_site_type_symbol
_atom_site_fract_x
_atom_site_fract_y
_atom_site_fract_z
K1 K 0.750 0.250 0.500
Dy1 Dy 0.000 0.000 0.000
Ag1 Ag 0.500 0.500 0.000
Ag2 Ag 0.250 0.750 0.500
Cl1 Cl 0.739 0.855 0.123
Cl2 Cl 0.384 0.268 0.123
Cl3 Cl 0.634 0.702 0.681
Cl4 Cl 0.047 0.980 0.681
Cl5 Cl 0.020 0.366 0.319
Cl6 Cl 0.298 0.953 0.319
Cl7 Cl 0.145 0.616 0.877
Cl8 Cl 0.732 0.261 0.877
# - Formation energy (no corrections): -1165 meV/atom
# - Raw total energy: -3.347 eV/atom
# - Theoretical density: 3.565 g/cm³
# - V: 27.21 Å³ per atom
# - SG: I-4



Entry 7:
# KDyAgCl5 (GGA-PBE, optimized geometry)
data_KDyAgCl5
_space_group_name_H-M_alt 'P 1'
_space_group_IT_number 1
_cell_length_a 7.602
_cell_length_b 7.602
_cell_length_c 10.087
_cell_angle_alpha 102.18
_cell_angle_beta 102.18
_cell_angle_gamma 109.96
loop_
_space_group_symop_operation_xyz
'x,y,z'
loop_
_atom_site_label
_atom_site_type_symbol
_atom_site_fract_x
_atom_site_fract_y
_atom_site_fract_z
K1 K 0.347 0.653 0.250
K2 K 0.653 0.347 0.750
Dy1 Dy 0.000 0.000 0.500
Dy2 Dy 0.000 0.000 0.000
Ag1 Ag 0.688 0.312 0.250
Ag2 Ag 0.312 0.688 0.750
Cl1 Cl 0.075 0.925 0.250
Cl2 Cl 0.925 0.075 0.750
Cl3 Cl 0.919 0.305 0.097
Cl4 Cl 0.081 0.695 0.903
Cl5 Cl 0.695 0.081 0.403
Cl6 Cl 0.305 0.919 0.597
Cl7 Cl 0.745 0.635 0.440
Cl8 Cl 0.255 0.365 0.560
Cl9 Cl 0.365 0.255 0.060
Cl10 Cl 0.635 0.745 0.940
# - Formation energy (no corrections): -1758 meV/atom
# - Raw total energy: -3.981 eV/atom
# - Theoretical density: 3.172 g/cm³
# - V: 31.85 Å³ per atom
# - SG: C2/c



Entry 8:
# KDyAgCl6 (GGA-PBE, optimized geometry)
data_KDyAgCl6
_space_group_name_H-M_alt 'P 1'
_space_group_IT_number 1
_cell_length_a 6.753
_cell_length_b 6.760
_cell_length_c 7.016
_cell_angle_alpha 88.05
_cell_angle_beta 92.08
_cell_angle_gamma 64.30
loop_
_space_group_symop_operation_xyz
'x,y,z'
loop_
_atom_site_label
_atom_site_type_symbol
_atom_site_fract_x
_atom_site_fract_y
_atom_site_fract_z
K1 K 0.010 0.010 0.001
Dy1 Dy 0.679 0.679 0.500
Ag1 Ag 0.334 0.334 0.500
Cl1 Cl 0.996 0.366 0.311
Cl2 Cl 0.366 0.997 0.690
Cl3 Cl 0.618 0.371 0.716
Cl4 Cl 0.983 0.645 0.747
Cl5 Cl 0.371 0.617 0.284
Cl6 Cl 0.643 0.982 0.251
# - Formation energy (no corrections): -1567 meV/atom
# - Raw total energy: -3.748 eV/atom
# - Theoretical density: 3.011 g/cm³
# - V: 32.00 Å³ per atom
# - SG: P1



Entry 9:
# Na2DyAgCl6 (GGA-PBE, optimized geometry)
data_Na2DyAgCl6
_space_group_name_H-M_alt 'P 1'
_space_group_IT_number 1
_cell_length_a 6.999
_cell_length_b 7.011
_cell_length_c 7.455
_cell_angle_alpha 61.82
_cell_angle_beta 61.99
_cell_angle_gamma 59.91
loop_
_space_group_symop_operation_xyz
'x,y,z'
loop_
_atom_site_label
_atom_site_type_symbol
_atom_site_fract_x
_atom_site_fract_y
_atom_site_fract_z
Na1 Na 0.524 0.523 0.429
Na2 Na 0.015 0.015 0.956
Dy1 Dy 0.323 0.323 0.031
Ag1 Ag 0.810 0.811 0.569
Cl1 Cl 0.588 0.213 0.251
Cl2 Cl 0.214 0.948 0.250
Cl3 Cl 0.948 0.587 0.250
Cl4 Cl 0.422 0.706 0.760
Cl5 Cl 0.706 0.112 0.760
Cl6 Cl 0.111 0.423 0.760
# - Formation energy (no corrections): -1725 meV/atom
# - Raw total energy: -3.842 eV/atom
# - Theoretical density: 3.307 g/cm³
# - V: 26.56 Å³ per atom
# - SG: P1



Entry 10:
# RbDyAg2Cl6 (GGA-PBE, optimized geometry)
data_RbDyAg2Cl6
_space_group_name_H-M_alt 'P 1'
_space_group_IT_number 1
_cell_length_a 7.165
_cell_length_b 7.166
_cell_length_c 7.723
_cell_angle_alpha 62.38
_cell_angle_beta 62.36
_cell_angle_gamma 59.97
loop_
_space_group_symop_operation_xyz
'x,y,z'
loop_
_atom_site_label
_atom_site_type_symbol
_atom_site_fract_x
_atom_site_fract_y
_atom_site_fract_z
Rb1 Rb 0.802 0.802 0.593
Dy1 Dy 0.325 0.325 0.023
Ag1 Ag 0.521 0.521 0.436
Ag2 Ag 0.002 0.003 0.992
Cl1 Cl 0.577 0.261 0.230
Cl2 Cl 0.261 0.932 0.230
Cl3 Cl 0.932 0.576 0.231
Cl4 Cl 0.337 0.727 0.760
Cl5 Cl 0.727 0.177 0.759
Cl6 Cl 0.177 0.337 0.759
# - Formation energy (no corrections): -1480 meV/atom
# - Raw total energy: -3.716 eV/atom
# - Theoretical density: 3.874 g/cm³
# - V: 29.00 Å³ per atom
# - SG: R3